[1]
VASP calculation (PBE) on an optimized crystal structure of Na2AsIrO6. Values from VASP.

Cell and atoms, written as Quantum ESPRESSO input:
```
&SYSTEM
  ibrav = 0, nat = 10, ntyp = 4
/
ATOMIC_SPECIES
Na 22.99 Na.upf
As 74.92 As.upf
Ir 192.22 Ir.upf
O 16.00 O.upf
CELL_PARAMETERS angstrom
4.9390 0.0000 0.0000
0.0000 5.1659 0.0000
0.0000 0.0000 5.1659
ATOMIC_POSITIONS crystal
Na 0.0392 0.5000 0.0000
Na 0.0392 0.0000 0.5000
As 0.5603 0.0000 0.0000
Ir 0.5951 0.5000 0.5000
O 0.6945 0.2424 0.2424
O 0.6945 0.2424 0.7576
O 0.2186 0.5000 0.5000
O 0.2162 0.0000 0.0000
O 0.6945 0.7576 0.7576
O 0.6945 0.7576 0.2424
```

Magnetic moment (μB per formula unit): 1.17
Energy (Ry/atom): -0.4128
Space-group type: P4mm, No. 99



[2]
VASP calculation (PBE) on an optimized crystal structure of NaAsIrO5. Values from VASP.

Cell and atoms, written as Quantum ESPRESSO input:
```
&SYSTEM
  ibrav = 0, nat = 16, ntyp = 4
/
ATOMIC_SPECIES
Na 22.99 Na.upf
As 74.92 As.upf
Ir 192.22 Ir.upf
O 16.00 O.upf
CELL_PARAMETERS angstrom
5.6341 0.0631 -0.0686
-1.5844 5.4071 -0.0686
-1.7646 -2.3835 6.6000
ATOMIC_POSITIONS crystal
Na 0.3338 0.6662 0.2500
Na 0.6662 0.3338 0.7500
As 0.6891 0.3109 0.2500
As 0.3109 0.6891 0.7500
Ir 0.0000 0.0000 0.5000
Ir 0.0000 0.0000 0.0000
O 0.0768 0.9232 0.2500
O 0.9232 0.0768 0.7500
O 0.9115 0.3248 0.1220
O 0.0885 0.6752 0.8780
O 0.6752 0.0885 0.3780
O 0.3248 0.9115 0.6220
O 0.7542 0.6173 0.4274
O 0.2458 0.3827 0.5726
O 0.3827 0.2458 0.0726
O 0.6173 0.7542 0.9274
```

Magnetic moment (μB per formula unit): 0.39
Energy (Ry/atom): -0.4495
Space-group type: C2/c, No. 15